Entry 1:
Compound: K2TcPtO4
Source: the Alexandria database
Functional: GGA-PBE
Structure: relaxed

Cell: 5.6244 5.6244 5.6244 Å, 111.96 111.96 104.61°
Closest atoms and distances in Å follow each position.
Sites, in units of the cell vectors:
K 0.0000 0.0000 0.0000  4 O 2.67
K 0.7500 0.2500 0.5000  4 O 2.76
Tc 0.2500 0.7500 0.5000  4 O 1.87
Pt 0.5000 0.5000 0.0000  4 O 2.18
O 0.2769 0.7169 0.1686  1 Tc 1.87
O 0.2831 0.4517 0.5600  1 Tc 1.87
O 0.5483 0.1083 0.8314  1 Tc 1.87
O 0.8917 0.7231 0.4400  1 Tc 1.87

The space-group type is I-4 (82). The total energy comes out at -5.86 eV per atom.

---

Entry 2:
Compound: Li2LaZr
Source: the Alexandria database
Functional: GGA-PBE
Structure: relaxed

Cell: 5.1316 5.1316 5.1316 Å, 60.00 60.00 60.00°
Closest atoms and distances in Å follow each position.
Sites, in units of the cell vectors:
Li 0.2500 0.2500 0.2500  4 Zr 3.14, 4 La 3.14
Li 0.7500 0.7500 0.7500  4 Zr 3.14, 4 La 3.14
La 0.0000 0.0000 0.0000  8 Li 3.14
Zr 0.5000 0.5000 0.5000  8 Li 3.14

The value obtained for the offset from the most stable computed form is 0.1933 eV/atom. For the energy relative to the elements, the calculation gives 347.1 meV/atom. The space-group type is Fm-3m (225).

---

Entry 3:
Compound: Ce2PuWN5
Source: the Alexandria database
Functional: GGA-PBE
Structure: relaxed

Cell: 6.6469 6.6469 5.8771 Å, 90.00 90.00 90.00°
Closest atoms and distances in Å follow each position.
Sites, in units of the cell vectors:
Ce 0.1699 0.3301 0.0000  4 N 2.32-2.47
Ce 0.3301 0.8301 0.0000  4 N 2.32-2.47
Ce 0.6699 0.1699 0.0000  4 N 2.32-2.47
Ce 0.8301 0.6699 0.0000  4 N 2.32-2.47
Pu 0.0000 0.0000 0.5000  10 N 2.89-2.94
Pu 0.5000 0.5000 0.5000  10 N 2.89-2.94
W 0.0000 0.5000 0.5000  4 N 1.96
W 0.5000 0.0000 0.5000  4 N 1.96
N 0.0000 0.0000 0.0000  4 Ce 2.47
N 0.1482 0.6482 0.2656  1 W 1.96
N 0.1482 0.6482 0.7344  1 W 1.96
N 0.3518 0.1482 0.2656  1 W 1.96
N 0.3518 0.1482 0.7344  1 W 1.96
N 0.5000 0.5000 0.0000  4 Ce 2.47
N 0.6482 0.8518 0.2656  1 W 1.96
N 0.6482 0.8518 0.7344  1 W 1.96
N 0.8518 0.3518 0.2656  1 W 1.96
N 0.8518 0.3518 0.7344  1 W 1.96

The space-group type is P4/mbm (127). The total energy comes out at -9.87 eV per atom.